[1]
{
  "formula": "Li2HfGa2Pd2",
  "functional": "GGA-PBE",
  "state": "optimized geometry",
  "lattice_angstrom": [[7.7799, 0.0000, 0.0000], [0.0000, 4.5053, 0.0000], [-2.5628, 0.0000, 6.4282]],
  "species": ["Li", "Li", "Li", "Li", "Hf", "Hf", "Ga", "Ga", "Ga", "Ga", "Pd", "Pd", "Pd", "Pd"],
  "frac_coords": [[0.0755, 0.0000, 0.2234], [0.4245, 0.5000, 0.7766], [0.5755, 0.5000, 0.2234], [0.9245, 0.0000, 0.7766], [0.0000, 0.5000, 0.5000], [0.5000, 0.0000, 0.5000], [0.1467, 0.5000, 0.9408], [0.3533, 0.0000, 0.0592], [0.6467, 0.0000, 0.9408], [0.8533, 0.5000, 0.0592], [0.2159, 0.0000, 0.6525], [0.2841, 0.5000, 0.3475], [0.7159, 0.5000, 0.6525], [0.7841, 0.0000, 0.3475]],
  "formation_enthalpy_0k_ev_per_atom": -0.4814,
  "energy_ev_per_atom": -4.799
}

---

[2]
{
  "formula": "BaTa2Cr",
  "functional": "GGA-PBE",
  "state": "optimized geometry",
  "lattice_angstrom": [[9.2018, 0.0000, 0.0000], [0.0000, 3.2342, 0.0000], [-0.6595, 0.0000, 6.7730]],
  "species": ["Ba", "Ba", "Ta", "Ta", "Ta", "Ta", "Cr", "Cr"],
  "frac_coords": [[0.0000, 0.0000, 0.0000], [0.5000, 0.5000, 0.0000], [0.0165, 0.5000, 0.5299], [0.2775, 0.5000, 0.3744], [0.5165, 0.0000, 0.5299], [0.7775, 0.0000, 0.3744], [0.2449, 0.0000, 0.6392], [0.7449, 0.5000, 0.6392]],
  "formation_enthalpy_0k_ev_per_atom": 0.8574,
  "energy_ev_per_atom": -7.955
}